DFT (PBE+U) results for crystalline Rb2NiAgF at its relaxed geometry.

Properties
Magnetization = 0.0 μB per cell
Space group = P4/mmm, No. 123
Raw total energy = -1.5964 eV/atom

a = 6.6299 Å, b = 4.3445 Å, c = 6.6299 Å
α = 90.00°, β = 90.00°, γ = 90.00°
With the nearest neighbours (Å) after each atom.
Sites, in units of the cell vectors:
1 Ag 0.0000 0.0000 0.0000  2 F 2.17
2 Ni 0.5000 0.5000 0.5000  8 Rb 3.96, 2 Ni 4.34
3 Rb 0.5000 0.0000 0.0000  2 Ag 3.31
4 Rb 0.0000 0.0000 0.5000  2 Ag 3.31
5 F 0.0000 0.5000 0.0000  2 Ag 2.17